PWSe2: optimized geometry, GGA-PBE.

Output
Its volume is 76.9 Å³/cell. As for the space group: P4mm (99). The value obtained for the density of states at the Fermi level is 2.5 states/eV/f.u. As for the total energy: -0.4586 Ry per atom.

a = 3.200 Å, b = 3.200 Å, c = 7.505 Å
α = 90.00°, β = 90.00°, γ = 90.00°
Fractional coordinates of all 4 atoms:
P 0.500 0.500 0.715
W 0.000 0.000 0.549
Se 0.000 0.000 0.900
Se 0.500 0.500 0.336